Computed, not measured: Y2NbFe after structural relaxation at the PBE level of DFT.

Unit cell a=4.8463 b=4.8463 c=4.8463 alpha=60.00 beta=60.00 gamma=60.00
With the nearest neighbours (Å) after each atom.
Sites, in units of the cell vectors:
Y 0.7500 0.7500 0.7500  4 Nb 2.97, 4 Y 2.97
Y 0.0000 0.0000 0.0000  4 Fe 2.97, 4 Y 2.97
Fe 0.2500 0.2500 0.2500  4 Y 2.97, 4 Nb 2.97
Nb 0.5000 0.5000 0.5000  4 Y 2.97, 4 Fe 2.97

Calculated values
Total magnetic moment in μB per formula unit: 1.025
Energy in Ha/atom: -0.268
SG: F-43m (216)
Formation energy from the elements in eV/atom: 0.546